(A)
Density functional theory data (PBE) for crystalline LaNb3Ru at its relaxed geometry.

## Properties
Total magnetization (μB/f.u.): 0.0

Lattice parameters (Å, degrees): 4.8121 4.8121 4.8121 90.00 90.00 90.00
Space group Pm-3m (No. 221)
Symmetry-distinct sites (fractional):
La: 0.0000 0.0000 0.0000
Nb: 0.0000 0.0000 0.5000
Ru: 0.5000 0.5000 0.5000

=====

(B)
Density functional theory data (PBE) for crystalline LaNb3Ru at its relaxed geometry.

## Properties
Total magnetization (μB/f.u.): 0.0

Lattice parameters (Å, degrees): 4.9259 4.9259 4.9259 90.00 90.00 90.00
Space group Pm-3m (No. 221)
Symmetry-distinct sites (fractional):
La: 0.0000 0.0000 0.0000
Nb: 0.0000 0.5000 0.5000
Ru: 0.5000 0.5000 0.5000

=====

What should be chosen as the most stable of them? Choose (B).

=====

(A)
Density functional theory data (PBE) for crystalline LaNbS3 at its relaxed geometry.

## Properties
Total magnetization (μB/f.u.): 0.0

Lattice parameters (Å, degrees): 4.7959 4.7959 4.7959 90.00 90.00 90.00
Space group Pm-3m (No. 221)
Symmetry-distinct sites (fractional):
La: 0.0000 0.0000 0.0000
Nb: 0.5000 0.5000 0.5000
S: 0.0000 0.5000 0.5000

=====

(B)
Density functional theory data (PBE) for crystalline LaNbS3 at its relaxed geometry.

## Properties
Total magnetization (μB/f.u.): 0.0

Lattice parameters (Å, degrees): 3.6007 5.8080 10.6534 91.71 99.66 90.08
Space group P-1 (No. 2)
Symmetry-distinct sites (fractional):
La: 0.0703 0.1779 0.1380
Nb: 0.2479 0.2922 0.4958
S: 0.1873 0.9043 0.3735
S: 0.3299 0.6101 0.6615
S: 0.4638 0.2277 0.9231

=====

What should be chosen as the most stable of them? Choose (B).

=====

(A)
Density functional theory data (PBE) for crystalline LaNbSb2 at its relaxed geometry.

## Properties
Total magnetization (μB/f.u.): 1.4

Lattice parameters (Å, degrees): 7.3744 7.3744 7.3744 90.00 90.00 90.00
Space group Fm-3m (No. 225)
Symmetry-distinct sites (fractional):
La: 0.0000 0.0000 0.0000
Nb: 0.0000 0.0000 0.5000
Sb: 0.2500 0.2500 0.2500

=====

(B)
Density functional theory data (PBE) for crystalline LaNbSb2 at its relaxed geometry.

## Properties
Total magnetization (μB/f.u.): 0.0

Lattice parameters (Å, degrees): 6.1502 6.1502 15.5382 90.00 90.00 90.00
Space group I-42d (No. 122)
Symmetry-distinct sites (fractional):
La: 0.0000 0.0000 0.0000
Nb: 0.0000 0.0000 0.5000
Sb: 0.1724 0.2500 0.6250

=====

What should be chosen as the most stable of them? Choose (A).

=====

(A)
Density functional theory data (PBE) for crystalline LaNbSb2Te at its relaxed geometry.

## Properties
Total magnetization (μB/f.u.): 0.0

Lattice parameters (Å, degrees): 5.3070 5.3070 5.6119 90.00 90.00 90.00
Space group P4/mmm (No. 123)
Symmetry-distinct sites (fractional):
La: 0.0000 0.0000 0.0000
Nb: 0.5000 0.5000 0.5000
Sb: 0.0000 0.5000 0.5000
Te: 0.5000 0.5000 0.0000

=====

(B)
Density functional theory data (PBE) for crystalline LaNbSb2Te at its relaxed geometry.

## Properties
Total magnetization (μB/f.u.): 2.9

Lattice parameters (Å, degrees): 5.9419 5.9419 5.9712 90.00 90.00 90.00
Space group P4/mmm (No. 123)
Symmetry-distinct sites (fractional):
La: 0.0000 0.0000 0.0000
Nb: 0.5000 0.5000 0.5000
Sb: 0.0000 0.5000 0.0000
Te: 0.0000 0.0000 0.5000

=====

What should be chosen as the most stable of them? Choose (A).

=====

(A)
Density functional theory data (PBE) for crystalline LaNbSe2 at its relaxed geometry.

## Properties
Total magnetization (μB/f.u.): 3.4

Lattice parameters (Å, degrees): 4.2796 4.2796 25.4899 90.00 90.00 120.00
Space group R-3m (No. 166, hexagonal axes)
Symmetry-distinct sites (fractional):
La: 0.0000 0.0000 0.0000
Nb: 0.0000 0.0000 0.5000
Se: 0.0000 0.0000 0.3988

=====

(B)
Density functional theory data (PBE) for crystalline LaNbSe2 at its relaxed geometry.

## Properties
Total magnetization (μB/f.u.): 0.0

Lattice parameters (Å, degrees): 6.9670 6.9670 6.9670 90.00 90.00 90.00
Space group Fm-3m (No. 225)
Symmetry-distinct sites (fractional):
La: 0.0000 0.0000 0.0000
Nb: 0.0000 0.0000 0.5000
Se: 0.2500 0.2500 0.2500

=====

What should be chosen as the most stable of them? Choose (B).

=====

(A)
Density functional theory data (PBE) for crystalline LaNbSe2 at its relaxed geometry.

## Properties
Total magnetization (μB/f.u.): 0.4

Lattice parameters (Å, degrees): 3.5263 3.5263 28.3902 90.00 90.00 120.00
Space group R-3m (No. 166, hexagonal axes)
Symmetry-distinct sites (fractional):
La: 0.0000 0.0000 0.0000
Nb: 0.0000 0.0000 0.5000
Se: 0.0000 0.0000 0.1070

=====

(B)
Density functional theory data (PBE) for crystalline LaNbSe2 at its relaxed geometry.

## Properties
Total magnetization (μB/f.u.): 1.0

Lattice parameters (Å, degrees): 5.8300 5.8300 14.2173 90.00 90.00 90.00
Space group I-42d (No. 122)
Symmetry-distinct sites (fractional):
La: 0.0000 0.0000 0.0000
Nb: 0.0000 0.0000 0.5000
Se: 0.1839 0.2500 0.6250

=====

What should be chosen as the most stable of them? Choose (B).